CrGaF6 | PBE+U | relaxed

Computed properties:
- Density of states at the Fermi level: 0.0 states/eV per cell
- Total magnetization: 6.00 μB per cell

a = 5.1513 Å, b = 8.9206 Å, c = 5.3632 Å
α = 90.00°, β = 91.11°, γ = 90.00°
With the nearest neighbours (Å) after each atom.
Atoms (fractional coordinates):
Cr 0.0000 0.0000 0.0000  6 F 1.97
Cr 0.5000 0.5000 0.0000  6 F 1.97
Ga 0.0000 0.0000 0.5000  6 F 1.95
Ga 0.5000 0.5000 0.5000  6 F 1.95
F 0.1387 0.1388 0.7489  1 Ga 1.95, 1 Cr 1.97
F 0.1387 0.8612 0.7489  1 Ga 1.95, 1 Cr 1.97
F 0.2223 0.5000 0.7422  1 Ga 1.95, 1 Cr 1.97
F 0.2777 0.0000 0.2578  1 Ga 1.95, 1 Cr 1.97
F 0.3613 0.3612 0.2511  1 Ga 1.95, 1 Cr 1.97
F 0.3613 0.6388 0.2511  1 Ga 1.95, 1 Cr 1.97
F 0.6387 0.3612 0.7489  1 Ga 1.95, 1 Cr 1.97
F 0.6387 0.6388 0.7489  1 Ga 1.95, 1 Cr 1.97
F 0.7223 0.0000 0.7422  1 Ga 1.95, 1 Cr 1.97
F 0.7777 0.5000 0.2578  1 Ga 1.95, 1 Cr 1.97
F 0.8613 0.1388 0.2511  1 Ga 1.95, 1 Cr 1.97
F 0.8613 0.8612 0.2511  1 Ga 1.95, 1 Cr 1.97



Cr2GaF6 | PBE+U | relaxed

Computed properties:
- Density of states at the Fermi level: 4.4 states/eV per cell
- Total magnetization: 17.00 μB per cell

a = 4.8265 Å, b = 4.8265 Å, c = 10.4687 Å
α = 90.00°, β = 90.00°, γ = 90.00°
With the nearest neighbours (Å) after each atom.
Atoms (fractional coordinates):
Cr 0.0000 0.0000 0.1663  6 F 2.03-2.24
Cr 0.0000 0.0000 0.8337  6 F 2.03-2.24
Cr 0.5000 0.5000 0.3337  6 F 2.03-2.24
Cr 0.5000 0.5000 0.6663  6 F 2.03-2.24
Ga 0.0000 0.0000 0.5000  6 F 2.05-2.21
Ga 0.5000 0.5000 0.0000  6 F 2.05-2.21
F 0.1994 0.1994 0.0000  1 Ga 2.05, 2 Cr 2.21
F 0.2020 0.2020 0.3354  2 Cr 2.03-2.24, 1 Ga 2.21
F 0.2020 0.2020 0.6646  2 Cr 2.03-2.24, 1 Ga 2.21
F 0.2980 0.7020 0.1646  2 Cr 2.03-2.24, 1 Ga 2.21
F 0.2980 0.7020 0.8354  2 Cr 2.03-2.24, 1 Ga 2.21
F 0.3006 0.6994 0.5000  1 Ga 2.05, 2 Cr 2.21
F 0.6994 0.3006 0.5000  1 Ga 2.05, 2 Cr 2.21
F 0.7020 0.2980 0.1646  2 Cr 2.03-2.24, 1 Ga 2.21
F 0.7020 0.2980 0.8354  2 Cr 2.03-2.24, 1 Ga 2.21
F 0.7980 0.7980 0.3354  2 Cr 2.03-2.24, 1 Ga 2.21
F 0.7980 0.7980 0.6646  2 Cr 2.03-2.24, 1 Ga 2.21
F 0.8006 0.8006 0.0000  1 Ga 2.05, 2 Cr 2.21



Cr2GaF8 | PBE+U | relaxed

Computed properties:
- Density of states at the Fermi level: 2.6 states/eV per cell
- Total magnetization: 7.00 μB per cell

a = 5.6473 Å, b = 5.6473 Å, c = 4.4087 Å
α = 92.82°, β = 92.82°, γ = 72.55°
With the nearest neighbours (Å) after each atom.
Atoms (fractional coordinates):
Cr 0.1260 0.1260 0.2516  4 F 1.96-2.01
Cr 0.8740 0.8740 0.7484  4 F 1.96-2.01
Ga 0.5000 0.5000 0.0000  6 F 1.90-1.94
F 0.0946 0.0946 0.7493  3 Cr 2.01-2.23
F 0.1854 0.5960 0.7723  1 Ga 1.94, 1 Cr 1.98
F 0.3417 0.3417 0.2607  1 Ga 1.90, 1 Cr 1.96
F 0.4040 0.8146 0.2277  1 Ga 1.94, 1 Cr 1.98
F 0.5960 0.1854 0.7723  1 Ga 1.94, 1 Cr 1.98
F 0.6583 0.6583 0.7393  1 Ga 1.90, 1 Cr 1.96
F 0.8146 0.4040 0.2277  1 Ga 1.94, 1 Cr 1.98
F 0.9054 0.9054 0.2507  3 Cr 2.01-2.23



Calculated total energy values, unit eV per atom, following the record order: -5.218; -5.583; -5.565.